Entry from the Alexandria database: a geometry-optimized Hg2GeRu structure (PBE).

a = 10.484 Å, b = 10.484 Å, c = 4.674 Å
α = 90.00°, β = 90.00°, γ = 90.00°
Space group I4_1/amd (No. 141, origin choice 2)
Unique sites:
Hg 0.000 0.000 0.000
Ge 0.000 0.250 0.375
Ru 0.000 0.250 0.875

Calculated values
Formation energy, kcal/mol of atoms: 8.1


Entry from the Alexandria database: a geometry-optimized LaCd20Ni2 structure (PBE).

a = 15.840 Å, b = 15.840 Å, c = 15.840 Å
α = 90.00°, β = 90.00°, γ = 90.00°
Space group Fd-3m (No. 227, origin choice 2)
Unique sites:
La 0.125 0.125 0.125
Cd 0.000 0.000 0.000
Cd 0.012 0.375 0.875
Cd 0.060 0.060 0.325
Ni 0.000 0.000 0.500

Calculated values
Formation energy, kcal/mol of atoms: -2.2


Entry from the Alexandria database: a geometry-optimized AlHF structure (PBE).

a = 8.550 Å, b = 4.644 Å, c = 4.691 Å
α = 90.00°, β = 119.10°, γ = 90.00°
Space group C2 (No. 5)
Unique sites:
Al 0.171 0.000 0.169
H 0.189 0.696 0.905
F 0.191 0.261 0.500

Calculated values
Energy above the lowest structure with this stoichiometry, meV per atom: 0


Number 1: V 514 Å³ per cell, D(E_F) 7.3 states/eV/cell, M_tot 0.00 μB/atom. Number 2: V 3974 Å³ per cell, D(E_F) 69.2 states/eV/cell, M_tot 0.00 μB/atom. Number 3: V 163 Å³ per cell, D(E_F) 0.0 states/eV/cell, M_tot 0.00 μB/atom.